Material: Ce2PPd
Method: DFT, PBE
State: optimized geometry

abc: 3.9519 3.9519 7.6929
angles: 75.12 75.12 60.00
Last column: nearest neighbours and their distance in Å.
Atoms (fractional coordinates):
P  0.6668  0.6668  0.9995  6 Ce 2.85
Ce  0.0778  0.0778  0.7665  3 P 2.85, 3 Pd 3.00
Ce  0.2559  0.2559  0.2323  3 P 2.85, 3 Pd 3.02
Pd  0.4994  0.4994  0.5017  6 Ce 3.00-3.02

Properties
The calculation puts the density of states at the Fermi level at 10.14 states/eV/cell. As for the electronic total energy: -6.53 eV per atom. The formation energy comes out at -0.91 eV/atom. The size of the total moment comes out at 1.8 μB/f.u.

=====

Material: Ce12Th7In
Method: DFT, PBE
State: optimized geometry

abc: 9.5474 9.5474 9.5474
angles: 109.47 109.47 109.47
Last column: nearest neighbours and their distance in Å.
Atoms (fractional coordinates):
Ce  0.9096  0.7317  0.1779  2 Th 2.88
Ce  0.2683  0.8221  0.0904  2 Th 2.88
Ce  0.5538  0.7317  0.8221  2 Th 2.88
Ce  0.1779  0.9096  0.7317  2 Th 2.88
Ce  0.7317  0.8221  0.5538  2 Th 2.88
Ce  0.8221  0.5538  0.7317  2 Th 2.88
Ce  0.4462  0.2683  0.1779  2 Th 2.88
Ce  0.2683  0.1779  0.4462  2 Th 2.88
Ce  0.0904  0.2683  0.8221  2 Th 2.88
Ce  0.7317  0.1779  0.9096  2 Th 2.88
Ce  0.8221  0.0904  0.2683  2 Th 2.88
Ce  0.1779  0.4462  0.2683  2 Th 2.88
Th  0.5000  0.5000  0.0000  4 Ce 3.22
Th  0.0000  0.5000  0.5000  4 Ce 3.22
Th  0.5000  0.5000  0.5000  6 Ce 2.88
Th  0.0000  0.0000  0.5000  6 Ce 2.88
Th  0.0000  0.5000  0.0000  6 Ce 2.88
Th  0.5000  0.0000  0.0000  6 Ce 2.88
Th  0.5000  0.0000  0.5000  4 Ce 3.22
In  0.0000  0.0000  0.0000  12 Ce 3.55

Properties
The calculation puts the density of states at the Fermi level at 71.01 states/eV/cell. As for the electronic total energy: -5.52 eV per atom. The formation energy comes out at 0.77 eV/atom. The size of the total moment comes out at 9.4 μB/f.u.

=====

Material: PmPrSbN
Method: DFT, PBE
State: optimized geometry

abc: 3.6982 3.7987 7.6954
angles: 104.28 103.89 90.04
Last column: nearest neighbours and their distance in Å.
Atoms (fractional coordinates):
Pr  0.6703  0.1286  0.3406  2 N 2.39
N  0.5699  0.5282  0.1398  2 Pm 2.33, 2 Pr 2.39
Pm  0.9714  0.4296  0.9427  2 N 2.33
Sb  0.3233  0.7815  0.6465  4 Pm 3.41, 4 Pr 3.45, 4 Sb 3.70-3.80

Properties
The value obtained for the uncorrected formation energy is -1034 meV/atom. The calculation puts the density of states at the Fermi level at 2.38 states/eV/cell. As for the electronic total energy: -6.53 eV per atom. The size of the total moment comes out at 0.2 μB/f.u.

=====

Material: SrBeCu2
Method: DFT, PBE
State: optimized geometry

abc: 4.4351 4.4350 3.8827
angles: 90.00 90.00 90.00
Last column: nearest neighbours and their distance in Å.
Atoms (fractional coordinates):
Cu  0.5000  0.5000  0.0000  4 Sr 2.95, 4 Be 2.95, 4 Cu 3.14
Cu  0.0000  0.0000  0.0000  4 Be 2.95, 4 Sr 2.95, 4 Cu 3.14
Be  0.0000  0.5000  0.5000  8 Cu 2.95, 4 Sr 3.14
Sr  0.5000  0.0000  0.5000  8 Cu 2.95, 4 Be 3.14

Properties
The calculation puts the density of states at the Fermi level at 2.01 states/eV/cell. As for the electronic total energy: -2.81 eV per atom. The formation energy comes out at 0.59 eV/atom. The size of the total moment comes out at 0.0 μB/f.u.

=====

Material: BaUPdO6
Method: DFT, PBE
State: optimized geometry

abc: 5.4559 5.4559 11.8441
angles: 90.00 90.00 120.00
Last column: nearest neighbours and their distance in Å.
Atoms (fractional coordinates):
O  0.9935  0.3670  0.1532  1 Pd 2.05, 1 U 2.10
O  0.6330  0.0065  0.3468  1 Pd 2.05, 1 U 2.10
O  0.3735  0.3670  0.3468  1 Pd 2.05, 1 U 2.10
O  0.6265  0.9935  0.8468  1 Pd 2.05, 1 U 2.10
O  0.6265  0.6330  0.6532  1 Pd 2.05, 1 U 2.10
O  0.0065  0.3735  0.6532  1 Pd 2.05, 1 U 2.10
O  0.0065  0.6330  0.8468  1 Pd 2.05, 1 U 2.10
O  0.3670  0.9935  0.6532  1 Pd 2.05, 1 U 2.10
O  0.3735  0.0065  0.1532  1 Pd 2.05, 1 U 2.10
O  0.6330  0.6265  0.1532  1 Pd 2.05, 1 U 2.10
O  0.3670  0.3735  0.8468  1 Pd 2.05, 1 U 2.10
O  0.9935  0.6265  0.3468  1 Pd 2.05, 1 U 2.10
Pd  0.3333  0.6667  0.7500  6 O 2.05
Pd  0.6667  0.3333  0.2500  6 O 2.05
U  0.3333  0.6667  0.2500  6 O 2.10
U  0.6667  0.3333  0.7500  6 O 2.10
Ba  0.0000  0.0000  0.5000  6 O 2.72
Ba  0.0000  0.0000  0.0000  6 O 2.72

Properties
The value obtained for the uncorrected formation energy is -2204 meV/atom. As for the electronic total energy: -7.55 eV per atom. The size of the total moment comes out at 0.0 μB/f.u.

=====

Material: OsRu2Br
Method: DFT, PBE
State: optimized geometry

abc: 9.2068 9.2068 9.2068
angles: 17.65 17.65 17.65
Last column: nearest neighbours and their distance in Å.
Atoms (fractional coordinates):
Br  0.5066  0.5066  0.5066  3 Ru 2.72, 6 Br 2.83
Ru  0.9988  0.9988  0.9988  3 Os 2.64, 9 Ru 2.70-2.83
Ru  0.2531  0.2531  0.2531  9 Ru 2.70-2.83, 3 Br 2.72
Os  0.7416  0.7416  0.7416  3 Ru 2.64, 6 Os 2.83

Properties
The value obtained for the uncorrected formation energy is 735 meV/atom. The calculation puts the density of states at the Fermi level at 3.38 states/eV/cell. As for the electronic total energy: -7.13 eV per atom. The size of the total moment comes out at 0.0 μB/f.u.

=====

Material: HoTh8C5
Method: DFT, PBE
State: optimized geometry

abc: 3.6715 9.5542 9.8252
angles: 103.66 100.77 90.00
Last column: nearest neighbours and their distance in Å.
Atoms (fractional coordinates):
Th  0.8307  0.5055  0.6613  3 C 2.52-2.53
Th  0.2384  0.1671  0.4769  5 C 2.66-2.68
Th  0.9084  0.1561  0.8168  3 C 2.52-2.57
Th  0.1694  0.4945  0.3387  3 C 2.52-2.53
Th  0.0916  0.8439  0.1831  3 C 2.52-2.57
Th  0.7615  0.8329  0.5231  5 C 2.66-2.68
Th  0.4231  0.8371  0.8462  4 C 2.62-2.66
Th  0.5769  0.1630  0.1539  4 C 2.62-2.66
C  0.3352  0.0097  0.6705  6 Th 2.52-2.67
C  0.2947  0.6552  0.5894  6 Th 2.52-2.68
C  0.0000  0.0000  0.0000  6 Th 2.57-2.62
C  0.6647  0.9902  0.3294  6 Th 2.52-2.67
C  0.7054  0.3449  0.4107  6 Th 2.52-2.68
Ho  0.5000  0.4998  0.9999  2 Ho 3.67, 10 Th 3.76-3.86

Properties
The calculation puts the density of states at the Fermi level at 15.00 states/eV/cell. As for the electronic total energy: -8.06 eV per atom. The formation energy comes out at -0.20 eV/atom. The size of the total moment comes out at 0.0 μB/f.u.

=====

Material: Sr2Al7Au12
Method: DFT, PBE
State: optimized geometry

abc: 4.3715 10.4532 10.4532
angles: 120.00 90.00 90.00
Last column: nearest neighbours and their distance in Å.
Atoms (fractional coordinates):
Au  0.7737  0.8704  0.7392  4 Al 2.59-2.69
Au  0.2263  0.7392  0.8689  4 Al 2.59-2.69
Au  0.7536  0.5487  0.6205  4 Al 2.57-2.86
Au  0.2464  0.4513  0.3795  4 Al 2.57-2.86
Au  0.2464  0.6205  0.0718  4 Al 2.57-2.86
Au  0.7536  0.3795  0.9282  4 Al 2.57-2.86
Au  0.7536  0.0718  0.4513  4 Al 2.57-2.86
Au  0.7737  0.2608  0.1311  4 Al 2.59-2.69
Au  0.2263  0.1296  0.2608  4 Al 2.59-2.69
Au  0.2464  0.9282  0.5487  4 Al 2.57-2.86
Au  0.2263  0.1311  0.8704  4 Al 2.59-2.69
Au  0.7737  0.8689  0.1296  4 Al 2.59-2.69
Sr  0.2430  0.3333  0.6667  9 Au 3.31-3.68, 6 Al 3.43-3.49
Sr  0.7570  0.6667  0.3333  9 Au 3.31-3.68, 6 Al 3.43-3.49
Al  0.2683  0.3908  0.1020  7 Au 2.57-2.86
Al  0.2683  0.8980  0.2888  7 Au 2.57-2.86
Al  0.7317  0.6092  0.8980  7 Au 2.57-2.86
Al  0.7317  0.2888  0.3908  7 Au 2.57-2.86
Al  0.5000  0.0000  0.0000  6 Au 2.65
Al  0.7317  0.1020  0.7112  7 Au 2.57-2.86
Al  0.2683  0.7112  0.6092  7 Au 2.57-2.86

Properties
The calculation puts the density of states at the Fermi level at 7.27 states/eV/cell. As for the electronic total energy: -3.76 eV per atom. The formation energy comes out at -0.48 eV/atom. The size of the total moment comes out at 0.0 μB/f.u.

=====

Material: Hf12Cu5Pb3
Method: DFT, PBE
State: optimized geometry

abc: 13.6154 13.6154 13.6154
angles: 109.47 109.47 109.47
Last column: nearest neighbours and their distance in Å.
Atoms (fractional coordinates):
Hf  0.1710  0.0791  0.9636  2 Cu 2.48-2.51
Hf  0.0919  0.9209  0.3845  2 Cu 2.48-2.51
Hf  0.1155  0.7074  0.5364  2 Cu 2.48-2.51
Hf  0.0919  0.1710  0.2074  2 Cu 2.48-2.51
Hf  0.7926  0.3290  0.9081  2 Cu 2.48-2.51
Hf  0.8290  0.9209  0.0364  2 Cu 2.48-2.51
Hf  0.9209  0.8290  0.5364  2 Cu 2.48-2.51
Hf  0.8290  0.9081  0.2926  2 Cu 2.48-2.51
Hf  0.3290  0.5364  0.4209  2 Cu 2.48-2.51
Hf  0.1155  0.4081  0.0791  2 Cu 2.48-2.51
Hf  0.9081  0.8290  0.7926  2 Cu 2.48-2.51
Hf  0.0364  0.6155  0.7074  2 Cu 2.48-2.51
Hf  0.7074  0.1155  0.0364  2 Cu 2.48-2.51
Hf  0.5364  0.2074  0.1155  2 Cu 2.48-2.51
Hf  0.4081  0.2926  0.3290  2 Cu 2.48-2.51
Hf  0.4209  0.3845  0.5919  2 Cu 2.48-2.51
Hf  0.6155  0.5791  0.9081  2 Cu 2.48-2.51
Hf  0.9636  0.5791  0.1710  2 Cu 2.48-2.51
Hf  0.8845  0.2926  0.4636  2 Cu 2.48-2.51
Hf  0.5791  0.9636  0.6710  2 Cu 2.48-2.51
Hf  0.4209  0.0364  0.3290  2 Cu 2.48-2.51
Hf  0.2926  0.8845  0.9636  2 Cu 2.48-2.51
Hf  0.9209  0.0919  0.8845  2 Cu 2.48-2.51
Hf  0.5364  0.3290  0.9209  2 Cu 2.48-2.51
Hf  0.9081  0.0791  0.6155  2 Cu 2.48-2.51
Hf  0.8845  0.5919  0.9209  2 Cu 2.48-2.51
Hf  0.2074  0.6710  0.0919  2 Cu 2.48-2.51
Hf  0.0791  0.9081  0.1155  2 Cu 2.48-2.51
Hf  0.4636  0.7926  0.8845  2 Cu 2.48-2.51
Hf  0.2926  0.4081  0.8290  2 Cu 2.48-2.51
Hf  0.3845  0.9636  0.7926  2 Cu 2.48-2.51
Hf  0.1710  0.0919  0.7074  2 Cu 2.48-2.51
Hf  0.3290  0.7926  0.4081  2 Cu 2.48-2.51
Hf  0.3845  0.4209  0.0919  2 Cu 2.48-2.51
Hf  0.4636  0.6710  0.0791  2 Cu 2.48-2.51
Hf  0.6155  0.0364  0.2074  2 Cu 2.48-2.51
Hf  0.4081  0.1155  0.5791  2 Cu 2.48-2.51
Hf  0.6710  0.2074  0.5919  2 Cu 2.48-2.51
Hf  0.7074  0.5919  0.1710  2 Cu 2.48-2.51
Hf  0.0364  0.4209  0.8290  2 Cu 2.48-2.51
Hf  0.2074  0.5364  0.6155  2 Cu 2.48-2.51
Hf  0.5791  0.6155  0.4081  2 Cu 2.48-2.51
Hf  0.0791  0.1710  0.4636  2 Cu 2.48-2.51
Hf  0.9636  0.3845  0.2926  2 Cu 2.48-2.51
Hf  0.6710  0.4636  0.5791  2 Cu 2.48-2.51
Hf  0.5919  0.8845  0.4209  2 Cu 2.48-2.51
Hf  0.7926  0.4636  0.3845  2 Cu 2.48-2.51
Hf  0.5919  0.7074  0.6710  2 Cu 2.48-2.51
Pb  0.3750  0.7500  0.6250  8 Hf 2.97-3.10
Pb  0.8750  0.1250  0.2500  8 Hf 2.97-3.10
Pb  0.3750  0.6250  0.2500  8 Hf 2.97-3.10
Pb  0.8750  0.7500  0.1250  8 Hf 2.97-3.10
Pb  0.1250  0.2500  0.8750  8 Hf 2.97-3.10
Pb  0.6250  0.2500  0.3750  8 Hf 2.97-3.10
Pb  0.6250  0.3750  0.7500  8 Hf 2.97-3.10
Pb  0.2500  0.1250  0.3750  8 Hf 2.97-3.10
Pb  0.1250  0.8750  0.7500  8 Hf 2.97-3.10
Pb  0.2500  0.6250  0.8750  8 Hf 2.97-3.10
Pb  0.7500  0.3750  0.1250  8 Hf 2.97-3.10
Pb  0.7500  0.8750  0.6250  8 Hf 2.97-3.10
Cu  0.0000  0.0000  0.0000  6 Hf 2.51
Cu  0.8750  0.2500  0.6250  4 Hf 2.48
Cu  0.2500  0.3750  0.6250  4 Hf 2.48
Cu  0.3750  0.1250  0.7500  4 Hf 2.48
Cu  0.5000  0.0000  0.5000  6 Hf 2.51
Cu  0.0000  0.0000  0.5000  6 Hf 2.51
Cu  0.0000  0.5000  0.0000  6 Hf 2.51
Cu  0.3750  0.2500  0.1250  4 Hf 2.48
Cu  0.8750  0.6250  0.7500  4 Hf 2.48
Cu  0.1250  0.7500  0.3750  4 Hf 2.48
Cu  0.7500  0.6250  0.3750  4 Hf 2.48
Cu  0.1250  0.3750  0.2500  4 Hf 2.48
Cu  0.0000  0.5000  0.5000  6 Hf 2.51
Cu  0.5000  0.0000  0.0000  6 Hf 2.51
Cu  0.6250  0.8750  0.2500  4 Hf 2.48
Cu  0.5000  0.5000  0.5000  6 Hf 2.51
Cu  0.6250  0.7500  0.8750  4 Hf 2.48
Cu  0.7500  0.1250  0.8750  4 Hf 2.48
Cu  0.5000  0.5000  0.0000  6 Hf 2.51
Cu  0.2500  0.8750  0.1250  4 Hf 2.48

Properties
The calculation puts the density of states at the Fermi level at 117.40 states/eV/cell. As for the electronic total energy: -6.93 eV per atom. The formation energy comes out at 0.63 eV/atom. The size of the total moment comes out at 0.0 μB/f.u.

=====

Material: Tl3Sn3Au8
Method: DFT, PBE
State: optimized geometry

abc: 4.4425 9.0255 9.7358
angles: 64.28 76.81 75.75
Last column: nearest neighbours and their distance in Å.
Atoms (fractional coordinates):
Sn  0.0000  0.5000  0.5000  8 Au 2.78-2.88
Sn  0.6755  0.6525  0.9965  5 Au 2.70-2.98
Sn  0.3245  0.3475  0.0035  5 Au 2.70-2.98
Au  0.8866  0.8462  0.3805  1 Sn 2.78, 4 Au 2.82-2.97
Au  0.1134  0.1538  0.6195  1 Sn 2.78, 4 Au 2.82-2.97
Au  0.8606  0.4639  0.8150  4 Sn 2.78-2.87, 2 Au 2.93
Au  0.3766  0.0300  0.2168  1 Sn 2.70, 3 Au 2.82-2.94
Au  0.6234  0.9700  0.7832  1 Sn 2.70, 3 Au 2.82-2.94
Au  0.5140  0.6670  0.3050  3 Sn 2.88-2.98, 5 Au 2.93-2.97
Au  0.1394  0.5361  0.1850  4 Sn 2.78-2.87, 2 Au 2.93
Au  0.4860  0.3330  0.6950  3 Sn 2.88-2.98, 5 Au 2.93-2.97
Tl  0.0000  0.0000  0.0000  6 Au 3.11-3.31
Tl  0.2908  0.7865  0.6320  7 Au 3.15-3.46
Tl  0.7092  0.2135  0.3680  7 Au 3.15-3.46

Properties
The calculation puts the density of states at the Fermi level at 4.13 states/eV/cell. As for the electronic total energy: -3.30 eV per atom. The formation energy comes out at -0.07 eV/atom. The size of the total moment comes out at 0.0 μB/f.u.

=====

Material: Y5ZnAu4
Method: DFT, PBE
State: optimized geometry

abc: 3.5941 3.5941 18.0789
angles: 90.00 90.00 90.00
Last column: nearest neighbours and their distance in Å.
Atoms (fractional coordinates):
Y  0.5000  0.5000  0.2982  8 Au 3.13-3.14
Y  0.5000  0.5000  0.9018  4 Au 3.10, 4 Zn 3.10
Y  0.5000  0.5000  0.0982  4 Au 3.10, 4 Zn 3.10
Y  0.5000  0.5000  0.7018  8 Au 3.13-3.14
Y  0.5000  0.5000  0.5000  8 Au 3.12
Au  0.0000  0.0000  0.6005  8 Y 3.12-3.13
Au  0.0000  0.0000  0.8038  8 Y 3.10-3.14
Au  0.0000  0.0000  0.3995  8 Y 3.12-3.13
Au  0.0000  0.0000  0.1962  8 Y 3.10-3.14
Zn  0.0000  0.0000  0.0000  8 Y 3.10

Properties
The calculation puts the density of states at the Fermi level at 4.89 states/eV/cell. As for the electronic total energy: -5.44 eV per atom. The formation energy comes out at -0.77 eV/atom. The size of the total moment comes out at 0.0 μB/f.u.

=====

Material: HoEr2Zn2
Method: DFT, PBE
State: optimized geometry

abc: 5.2594 6.0909 7.9923
angles: 90.00 109.21 90.00
Last column: nearest neighbours and their distance in Å.
Atoms (fractional coordinates):
Er  0.1998  0.6555  0.3996  5 Zn 2.86-3.13
Er  0.0435  0.2455  0.0869  3 Zn 2.82-3.06
Er  0.8002  0.1555  0.6004  5 Zn 2.86-3.13
Er  0.9565  0.7455  0.9131  3 Zn 2.82-3.06
Zn  0.6213  0.4139  0.2426  1 Zn 2.71, 1 Ho 3.04
Zn  0.2258  0.1478  0.4516  1 Zn 2.71, 4 Er 2.82-3.02
Zn  0.7742  0.6478  0.5484  1 Zn 2.71, 4 Er 2.82-3.02
Zn  0.3787  0.9139  0.7574  1 Zn 2.71, 1 Ho 3.04
Ho  0.5823  0.9029  0.1646  4 Zn 3.04-3.29, 2 Er 3.38
Ho  0.4177  0.4029  0.8354  4 Zn 3.04-3.29, 2 Er 3.38

Properties
The calculation puts the density of states at the Fermi level at 9.24 states/eV/cell. As for the electronic total energy: -3.45 eV per atom. The formation energy comes out at -0.20 eV/atom. The size of the total moment comes out at 0.0 μB/f.u.